The following is a DFT calculation (PBE) of a relaxed CeNb6Te8 crystal.

Unit cell a=7.333 b=7.333 c=7.333 alpha=87.12 beta=87.12 gamma=87.12
Site moments in Bohr magnetons follow the coordinates.
Atoms (fractional coordinates):
Ce (0.000, 0.000, 0.000)  0.92
Nb (0.580, 0.450, 0.775)  0.03
Nb (0.450, 0.775, 0.580)  0.03
Nb (0.775, 0.580, 0.450)  0.03
Nb (0.420, 0.550, 0.225)  0.03
Nb (0.550, 0.225, 0.420)  0.03
Nb (0.225, 0.420, 0.550)  0.03
Te (0.767, 0.767, 0.767)  0.00
Te (0.233, 0.233, 0.233)  0.00
Te (0.611, 0.883, 0.231)  0.00
Te (0.883, 0.231, 0.611)  0.00
Te (0.231, 0.611, 0.883)  0.00
Te (0.389, 0.117, 0.769)  0.00
Te (0.117, 0.769, 0.389)  0.00
Te (0.769, 0.389, 0.117)  0.00

Calculated values
The value obtained for the energy relative to the elements, uncorrected is -0.50 eV per atom. As for the calculated volume: 392.9 Å³ per cell.